Entry 1:
# InGaBi | Alexandria via LeMat-Bulk | PBE | optimized geometry
# **Polymorph energy (0 for the lowest one)**: 0.015 eV per atom
# **Magnetization**: 0.0000 μB/atom
# **Density**: 7.96 g/cm3
data_InGaBi
_chemical_formula_sum 'In2 Ga2 Bi2'
_cell_length_a 4.7195
_cell_length_b 5.3772
_cell_length_c 7.0403
_cell_angle_alpha 84.50
_cell_angle_beta 87.94
_cell_angle_gamma 67.47
_symmetry_space_group_name_H-M 'P 1'
_symmetry_Int_Tables_number 1
_symmetry_space_group_name_Hall 'P 1'
loop_
_atom_site_label
_atom_site_type_symbol
_atom_site_fract_x
_atom_site_fract_y
_atom_site_fract_z
In1 In 0.0000 0.0000 0.0000
In2 In 0.3299 0.3025 0.6587
Ga1 Ga 0.3229 0.3198 0.1885
Ga2 Ga 0.6649 0.6004 0.3266
Bi1 Bi 0.6731 0.6320 0.8794
Bi2 Bi 0.9836 0.9542 0.4485

---

Entry 2:
# InGaBi | Alexandria via LeMat-Bulk | PBE | optimized geometry
# **Polymorph energy (0 for the lowest one)**: 0.026 eV per atom
# **Magnetization**: 0.0000 μB/atom
# **Density**: 8.01 g/cm3
data_InGaBi
_chemical_formula_sum 'In4 Ga4 Bi4'
_cell_length_a 9.9401
_cell_length_b 4.8397
_cell_length_c 6.8015
_cell_angle_alpha 90.00
_cell_angle_beta 94.19
_cell_angle_gamma 90.00
_symmetry_space_group_name_H-M 'C 1 2/m 1'
_symmetry_Int_Tables_number 12
_symmetry_space_group_name_Hall '-C 2y'
loop_
_atom_site_label
_atom_site_type_symbol
_atom_site_fract_x
_atom_site_fract_y
_atom_site_fract_z
In1 In 0.1575 0.0000 0.3283
Ga1 Ga 0.0000 0.5000 0.0000
Ga2 Ga 0.0000 0.5000 0.5000
Bi1 Bi 0.1620 0.0000 0.8065

---

Entry 3:
# In4Ga5Bi | Alexandria via LeMat-Bulk | PBE | optimized geometry
# **Magnetization**: 0.0000 μB/atom
# **Density**: 6.81 g/cm3
data_In4Ga5Bi
_chemical_formula_sum 'In8 Ga10 Bi2'
_cell_length_a 10.3646
_cell_length_b 10.4279
_cell_length_c 4.5866
_cell_angle_alpha 90.00
_cell_angle_beta 90.00
_cell_angle_gamma 90.00
_symmetry_space_group_name_H-M 'P m m n'
_symmetry_Int_Tables_number 59
loop_
_symmetry_equiv_pos_as_xyz
'x,y,z'
'-x,-y,-z'
'-x+1/2,-y+1/2,z'
'x+1/2,y+1/2,-z'
'x+1/2,-y,-z'
'-x+1/2,y,z'
'-x,y+1/2,-z'
'x,-y+1/2,z'
loop_
_atom_site_label
_atom_site_type_symbol
_atom_site_fract_x
_atom_site_fract_y
_atom_site_fract_z
In1 In 0.0579 0.2500 0.2115
In2 In 0.2500 0.5339 0.2405
Ga1 Ga 0.0717 0.0358 0.7430
Ga2 Ga 0.2500 0.2500 0.7013
Bi1 Bi 0.2500 0.7500 0.7346

---

Entry 4:
# In12Ga6Bi | Alexandria via LeMat-Bulk | PBE | optimized geometry
# **Polymorph energy (0 for the lowest one)**: 0.036 eV per atom
# **Magnetization**: 0.0000 μB/atom
# **Density**: 6.79 g/cm3
data_In12Ga6Bi
_chemical_formula_sum 'In24 Ga12 Bi2'
_cell_length_a 9.9337
_cell_length_b 9.9337
_cell_length_c 9.9337
_cell_angle_alpha 90.00
_cell_angle_beta 90.00
_cell_angle_gamma 90.00
_symmetry_space_group_name_H-M 'I m -3'
_symmetry_Int_Tables_number 204
_symmetry_space_group_name_Hall '-I 2 2 3'
loop_
_atom_site_label
_atom_site_type_symbol
_atom_site_fract_x
_atom_site_fract_y
_atom_site_fract_z
In1 In 0.0000 0.2648 0.2040
Ga1 Ga 0.0000 0.1324 0.5000
Bi1 Bi 0.0000 0.0000 0.0000

---

no.,energy relative to the elements (eV per atom)
1,0.051
2,0.062
3,0.068
4,0.076